1) 7
Lattice="-2.511 2.511 4.523 2.511 -2.511 4.523 2.511 2.511 -4.523" Properties=species:S:1:pos:R:3 comment="Ag3F4, relaxed, DFT GGA-PBE" density_g_cm3=5.82 pbc="T T T"
Ag 0.000 0.000 0.000
Ag 2.511 0.000 2.262
Ag 0.000 2.511 2.262
F 2.511 0.000 0.000
F 0.000 0.000 2.228
F 0.000 2.511 0.000
F 0.000 0.000 6.818


2) 7
Lattice="1.850 1.068 9.273 -1.850 1.068 9.273 0.000 -2.136 9.273" Properties=species:S:1:pos:R:3 comment="Ag3F4, relaxed, DFT GGA-PBE" density_g_cm3=6.04 pbc="T T T"
Ag 0.000 0.000 0.000
Ag 0.000 0.000 2.882
Ag 0.000 0.000 24.936
F 0.000 0.000 5.710
F 0.000 0.000 10.574
F 0.000 0.000 17.244
F 0.000 0.000 22.108


In terms of stability, 1) leads; the second structure lies 26 meV per atom higher.